Entry 1:
{
  "formula": "K4ZnCr",
  "functional": "PBE-GGA",
  "state": "optimized geometry",
  "lattice_angstrom": [[0.000, 5.378, 5.378], [5.378, 0.000, 5.378], [5.378, 5.378, 0.000]],
  "species": ["K", "K", "K", "K", "Zn", "Cr"],
  "frac_coords": [[0.125, 0.125, 0.125], [0.125, 0.125, 0.624], [0.125, 0.624, 0.125], [0.624, 0.125, 0.125], [0.750, 0.750, 0.750], [0.500, 0.500, 0.500]],
  "formation_enthalpy_0k_ev_per_atom": 0.735,
  "energy_ev_per_cell": -10.88
}

Entry 2:
{
  "formula": "KZn2Cr",
  "functional": "PBE-GGA",
  "state": "optimized geometry",
  "lattice_angstrom": [[4.515, 0.000, 0.000], [0.000, 4.515, 0.000], [0.000, 0.000, 8.971]],
  "species": ["K", "K", "Zn", "Zn", "Zn", "Zn", "Cr", "Cr"],
  "frac_coords": [[0.000, 0.000, 0.000], [0.500, 0.500, 0.500], [0.000, 0.000, 0.500], [0.000, 0.500, 0.750], [0.500, 0.000, 0.250], [0.500, 0.500, 0.000], [0.000, 0.500, 0.250], [0.500, 0.000, 0.750]],
  "polymorph_energy_mev_per_atom": 391.4,
  "formation_enthalpy_0k_ev_per_atom": 0.710,
  "energy_ev_per_cell": -20.86
}

Entry 3:
{
  "formula": "KZnCr2",
  "functional": "PBE-GGA",
  "state": "optimized geometry",
  "lattice_angstrom": [[4.620, 0.000, 0.000], [0.000, 4.620, 0.000], [0.000, 0.000, 8.417]],
  "species": ["K", "K", "Zn", "Zn", "Cr", "Cr", "Cr", "Cr"],
  "frac_coords": [[0.000, 0.000, 0.000], [0.500, 0.500, 0.500], [0.000, 0.000, 0.500], [0.500, 0.500, 0.000], [0.000, 0.500, 0.250], [0.000, 0.500, 0.750], [0.500, 0.000, 0.250], [0.500, 0.000, 0.750]],
  "formation_enthalpy_0k_ev_per_atom": 1.128,
  "energy_ev_per_cell": -34.21
}

Entry 4:
{
  "formula": "K2ZnCr",
  "functional": "PBE-GGA",
  "state": "optimized geometry",
  "lattice_angstrom": [[7.899, 0.000, 0.000], [0.000, 7.911, 0.000], [0.000, 0.000, 4.666]],
  "species": ["K", "K", "K", "K", "Zn", "Zn", "Cr", "Cr"],
  "frac_coords": [[0.250, 0.250, 0.000], [0.250, 0.750, 0.000], [0.750, 0.250, 0.000], [0.750, 0.750, 0.000], [0.000, 0.000, 0.500], [0.500, 0.500, 0.500], [0.000, 0.500, 0.500], [0.500, 0.000, 0.500]],
  "formation_enthalpy_0k_ev_per_atom": 0.720,
  "energy_ev_per_cell": -20.42
}

Entry 5:
{
  "formula": "KZnCr2",
  "functional": "PBE-GGA",
  "state": "optimized geometry",
  "lattice_angstrom": [[7.280, 0.000, 0.000], [0.000, 7.280, 0.000], [0.000, 0.000, 7.280]],
  "species": ["K", "K", "K", "K", "Zn", "Zn", "Zn", "Zn", "Cr", "Cr", "Cr", "Cr", "Cr", "Cr", "Cr", "Cr"],
  "frac_coords": [[0.000, 0.000, 0.000], [0.000, 0.500, 0.500], [0.500, 0.000, 0.500], [0.500, 0.500, 0.000], [0.250, 0.250, 0.250], [0.250, 0.750, 0.750], [0.750, 0.250, 0.750], [0.750, 0.750, 0.250], [0.000, 0.000, 0.500], [0.000, 0.500, 0.000], [0.250, 0.250, 0.750], [0.250, 0.750, 0.250], [0.500, 0.000, 0.000], [0.500, 0.500, 0.500], [0.750, 0.250, 0.250], [0.750, 0.750, 0.750]],
  "formation_enthalpy_0k_ev_per_atom": 1.162,
  "energy_ev_per_cell": -67.88
}

Entry 6:
{
  "formula": "KZnCr2",
  "functional": "PBE-GGA",
  "state": "optimized geometry",
  "lattice_angstrom": [[6.393, 0.000, 0.000], [0.000, 9.059, 0.000], [0.000, 0.000, 3.075]],
  "species": ["K", "K", "Zn", "Zn", "Cr", "Cr", "Cr", "Cr"],
  "frac_coords": [[0.000, 0.000, 0.000], [0.500, 0.500, 0.000], [0.000, 0.500, 0.000], [0.500, 0.000, 0.000], [0.250, 0.250, 0.500], [0.250, 0.750, 0.500], [0.750, 0.250, 0.500], [0.750, 0.750, 0.500]],
  "formation_enthalpy_0k_ev_per_atom": 1.177,
  "energy_ev_per_cell": -33.82
}

Entry 7:
{
  "formula": "KZnCr2",
  "functional": "PBE-GGA",
  "state": "optimized geometry",
  "lattice_angstrom": [[3.000, 0.000, 0.000], [0.000, 4.656, 0.000], [0.000, 0.000, 9.815]],
  "species": ["K", "K", "Zn", "Zn", "Cr", "Cr", "Cr", "Cr"],
  "frac_coords": [[0.000, 0.000, 0.000], [0.500, 0.500, 0.000], [0.000, 0.500, 0.695], [0.500, 0.000, 0.695], [0.000, 0.000, 0.471], [0.000, 0.500, 0.307], [0.500, 0.000, 0.307], [0.500, 0.500, 0.471]],
  "formation_enthalpy_0k_ev_per_atom": 0.746,
  "energy_ev_per_cell": -37.27
}

Entry 8:
{
  "formula": "KZn2Cr",
  "functional": "PBE-GGA",
  "state": "optimized geometry",
  "lattice_angstrom": [[7.193, 0.000, 0.000], [0.000, 7.193, 0.000], [0.000, 0.000, 7.193]],
  "species": ["K", "K", "K", "K", "Zn", "Zn", "Zn", "Zn", "Zn", "Zn", "Zn", "Zn", "Cr", "Cr", "Cr", "Cr"],
  "frac_coords": [[0.000, 0.000, 0.000], [0.000, 0.500, 0.500], [0.500, 0.000, 0.500], [0.500, 0.500, 0.000], [0.250, 0.250, 0.250], [0.250, 0.250, 0.750], [0.250, 0.750, 0.250], [0.250, 0.750, 0.750], [0.750, 0.250, 0.250], [0.750, 0.250, 0.750], [0.750, 0.750, 0.250], [0.750, 0.750, 0.750], [0.000, 0.000, 0.500], [0.000, 0.500, 0.000], [0.500, 0.000, 0.000], [0.500, 0.500, 0.500]],
  "polymorph_energy_mev_per_atom": 316.0,
  "formation_enthalpy_0k_ev_per_atom": 0.634,
  "energy_ev_per_cell": -42.93
}

Entry 9:
{
  "formula": "K2ZnCr",
  "functional": "PBE-GGA",
  "state": "optimized geometry",
  "lattice_angstrom": [[3.723, 0.000, 0.000], [0.000, 3.723, 0.000], [0.000, 0.000, 10.181]],
  "species": ["K", "K", "Zn", "Cr"],
  "frac_coords": [[0.000, 0.000, 0.000], [0.500, 0.500, 0.403], [0.000, 0.000, 0.670], [0.500, 0.500, 0.728]],
  "formation_enthalpy_0k_ev_per_atom": 0.495,
  "energy_ev_per_cell": -11.11
}

Entry 10:
{
  "formula": "KZnCr2",
  "functional": "PBE-GGA",
  "state": "optimized geometry",
  "lattice_angstrom": [[6.292, 0.000, 0.000], [0.000, 10.510, 0.000], [-1.365, 0.000, 2.744]],
  "species": ["K", "K", "Zn", "Zn", "Cr", "Cr", "Cr", "Cr"],
  "frac_coords": [[0.000, 0.000, 0.000], [0.500, 0.500, 0.000], [0.000, 0.500, 0.000], [0.500, 0.000, 0.000], [0.250, 0.250, 0.500], [0.250, 0.750, 0.500], [0.750, 0.250, 0.500], [0.750, 0.750, 0.500]],
  "formation_enthalpy_0k_ev_per_atom": 1.149,
  "energy_ev_per_cell": -34.05
}

Entry 11:
{
  "formula": "K2ZnCr",
  "functional": "PBE-GGA",
  "state": "optimized geometry",
  "lattice_angstrom": [[12.176, 0.000, 0.000], [0.000, 12.176, 0.000], [0.000, 0.000, 5.147]],
  "species": ["K", "K", "K", "K", "K", "K", "K", "K", "Zn", "Zn", "Zn", "Zn", "Cr", "Cr", "Cr", "Cr"],
  "frac_coords": [[0.096, 0.250, 0.125], [0.250, 0.596, 0.375], [0.250, 0.904, 0.875], [0.404, 0.250, 0.625], [0.596, 0.750, 0.625], [0.750, 0.096, 0.875], [0.750, 0.404, 0.375], [0.904, 0.750, 0.125], [0.000, 0.000, 0.000], [0.000, 0.500, 0.250], [0.500, 0.000, 0.750], [0.500, 0.500, 0.500], [0.000, 0.000, 0.500], [0.000, 0.500, 0.750], [0.500, 0.000, 0.250], [0.500, 0.500, 0.000]],
  "formation_enthalpy_0k_ev_per_atom": 0.662,
  "energy_ev_per_cell": -41.78
}

Entry 12:
{
  "formula": "KZn2Cr",
  "functional": "PBE-GGA",
  "state": "optimized geometry",
  "lattice_angstrom": [[3.015, 0.000, 0.000], [0.000, 5.484, 0.000], [0.000, 0.000, 10.697]],
  "species": ["K", "K", "Zn", "Zn", "Zn", "Zn", "Cr", "Cr"],
  "frac_coords": [[0.000, 0.000, 0.000], [0.500, 0.500, 0.500], [0.000, 0.000, 0.489], [0.000, 0.500, 0.783], [0.500, 0.000, 0.283], [0.500, 0.500, 0.989], [0.000, 0.500, 0.201], [0.500, 0.000, 0.701]],
  "polymorph_energy_mev_per_atom": 252.5,
  "formation_enthalpy_0k_ev_per_atom": 0.571,
  "energy_ev_per_cell": -21.97
}

> Number 2 is which compound?

KZn2Cr